Entry 1:
First-principles (PBE) data for an optimized crystal structure of La6ZnNi2, as listed in Alexandria.

Cell: 8.7580 8.7580 8.7580 Å, 106.03 108.81 113.67°
With the nearest neighbours (Å) after each atom.
Sites, in units of the cell vectors:
1 La 0.6899 0.3613 0.6715  3 Ni 2.81-3.00
2 La 0.8074 0.7681 0.5755  1 Ni 2.90, 1 Zn 3.13
3 La 0.8074 0.2319 0.0392  1 Ni 2.90, 1 Zn 3.13
4 La 0.4651 0.2904 0.1747  3 Ni 2.99-3.29, 1 Zn 3.30
5 La 0.8843 0.7096 0.1747  3 Ni 2.99-3.29, 1 Zn 3.30
6 La 0.1926 0.7681 0.9608  1 Ni 2.90, 1 Zn 3.13
7 La 0.3101 0.9816 0.6715  3 Ni 2.81-3.00
8 La 0.1157 0.2904 0.8253  3 Ni 2.99-3.29, 1 Zn 3.30
9 La 0.6899 0.0184 0.3285  3 Ni 2.81-3.00
10 Ni 0.5000 0.6251 0.1251  1 Ni 2.64, 2 La 2.81
11 La 0.5349 0.7096 0.8253  3 Ni 2.99-3.29, 1 Zn 3.30
12 Zn 0.0000 0.5000 0.5000  8 La 3.44-3.48
13 Zn 0.0000 0.0000 0.0000  8 La 3.13-3.30
14 La 0.3101 0.6387 0.3285  3 Ni 2.81-3.00
15 Ni 0.3467 0.0000 0.3467  6 La 2.90-3.00, 1 Ni 3.13
16 La 0.1926 0.2319 0.4245  1 Ni 2.90, 1 Zn 3.13
17 Ni 0.6533 0.0000 0.6533  6 La 2.90-3.00, 1 Ni 3.13
18 Ni 0.5000 0.3749 0.8749  1 Ni 2.64, 2 La 2.81

Calculated values
Calculated formation energy ... -0.220 eV/atom
Space-group type ... Immm
Theoretical density ... 6.56 g/cm³
E_tot ... -4.931 eV per atom
V ... 514.75 Å³ per cell



Entry 2:
First-principles (PBE) data for an optimized crystal structure of CaNd2Ga, as listed in Alexandria.

Cell: 4.8109 4.8109 7.6545 Å, 71.68 71.68 60.00°
With the nearest neighbours (Å) after each atom.
Sites, in units of the cell vectors:
1 Ca 0.4983 0.4983 0.5051  1 Ga 3.60, 6 Nd 3.60-3.68
2 Nd 0.2776 0.2776 0.1673  3 Ga 3.02
3 Ga 0.6665 0.6665 0.0004  6 Nd 3.02-3.04
4 Nd 0.0576 0.0576 0.8272  3 Ga 3.04

Calculated values
Calculated formation energy ... -0.014 eV/atom
Space-group type ... R3m
Theoretical density ... 4.63 g/cm³
E_tot ... -3.655 eV per atom
V ... 142.97 Å³ per cell



Entry 3:
First-principles (PBE) data for an optimized crystal structure of KZn2Si, as listed in Alexandria.

Cell: 5.3360 5.3360 8.8146 Å, 72.38 72.38 90.00°
With the nearest neighbours (Å) after each atom.
Sites, in units of the cell vectors:
1 K 0.7500 0.2500 0.5000  8 Zn 3.59, 4 Si 3.77
2 Zn 0.8750 0.6250 0.7500  2 Si 2.40, 2 Zn 2.67
3 Zn 0.3750 0.6250 0.7500  2 Si 2.40, 2 Zn 2.67
4 Zn 0.3750 0.6250 0.2500  2 Si 2.40, 2 Zn 2.67
5 Si 0.5000 0.5000 0.0000  4 Zn 2.40
6 Si 0.2500 0.7500 0.5000  4 Zn 2.40
7 K 0.0000 0.0000 0.0000  8 Zn 3.59, 4 Si 3.77
8 Zn 0.3750 0.1250 0.2500  2 Si 2.40, 2 Zn 2.67

Calculated values
E_form (uncorrected) ... 147 meV per atom
Space-group type ... I4_1/amd
Theoretical density ... 2.90 g/cm³
E_tot ... -2.120 eV per atom
V ... 226.82 Å³ per cell



Entry 4:
First-principles (PBE) data for an optimized crystal structure of BaTl2Cl, as listed in Alexandria.

Cell: 4.4317 4.4294 7.4591 Å, 90.00 90.00 90.00°
With the nearest neighbours (Å) after each atom.
Sites, in units of the cell vectors:
1 Tl 0.0000 0.0000 0.0834  4 Tl 3.23
2 Cl 0.5000 0.5000 0.6429  4 Ba 3.16, 1 Tl 3.40
3 Tl 0.5000 0.5000 0.1875  4 Tl 3.23, 1 Cl 3.40
4 Ba 0.0000 0.0000 0.5862  4 Cl 3.16

Calculated values
E_form (uncorrected) ... -869 meV per atom
Space-group type ... P4mm
Theoretical density ... 6.60 g/cm³
E_tot ... -2.994 eV per atom
V ... 146.42 Å³ per cell



Entry 5:
First-principles (PBE) data for an optimized crystal structure of PmSm4Dy4, as listed in Alexandria.

Cell: 9.7676 8.7419 11.1039 Å, 87.07 107.71 136.99°
With the nearest neighbours (Å) after each atom.
Sites, in units of the cell vectors:
1 Sm 0.8126 0.4829 0.7031  6 Dy 3.47-3.76, 4 Sm 3.57-3.63, 1 Pm 3.79
2 Dy 0.2873 0.6239 0.8765  4 Dy 3.25-3.54, 6 Sm 3.48-3.63, 1 Pm 3.53
3 Dy 0.7117 0.7301 0.4538  6 Sm 3.40-3.76, 4 Dy 3.49-3.63, 2 Pm 3.57-3.61
4 Dy 0.6223 0.6033 0.8806  5 Dy 3.39-3.61, 3 Pm 3.52-3.61, 4 Sm 3.71-3.77
5 Sm 0.1874 0.5171 0.2969  6 Dy 3.47-3.76, 4 Sm 3.57-3.63, 1 Pm 3.79
6 Dy 0.3794 0.0453 0.7929  4 Dy 3.25-3.56, 1 Pm 3.38, 5 Sm 3.47-3.63
7 Sm 0.1508 0.8180 0.0367  7 Dy 3.48-3.77, 2 Sm 3.55-3.57, 2 Pm 3.73-3.80
8 Dy 0.6206 0.9547 0.2071  4 Dy 3.25-3.56, 1 Pm 3.38, 5 Sm 3.47-3.63
9 Dy 0.7127 0.3761 0.1235  4 Dy 3.25-3.54, 6 Sm 3.48-3.63, 1 Pm 3.53
10 Dy 0.3777 0.3967 0.1194  5 Dy 3.39-3.61, 3 Pm 3.52-3.61, 4 Sm 3.71-3.77
11 Sm 0.5162 0.8444 0.6320  5 Sm 3.49-3.61, 5 Dy 3.60-3.74, 1 Pm 3.71
12 Sm 0.0502 0.7132 0.4597  6 Sm 3.24-3.63, 4 Dy 3.40-3.59, 1 Pm 3.54
13 Dy 0.2883 0.2699 0.5462  6 Sm 3.40-3.76, 4 Dy 3.49-3.63, 2 Pm 3.57-3.61
14 Sm 0.8492 0.1820 0.9633  7 Dy 3.48-3.77, 2 Sm 3.55-3.57, 2 Pm 3.73-3.80
15 Pm 0.0477 0.0694 0.7865  7 Dy 3.38-3.61, 3 Sm 3.54-3.73
16 Pm 0.9523 0.9306 0.2135  7 Dy 3.38-3.61, 3 Sm 3.54-3.73
17 Sm 0.9498 0.2868 0.5403  6 Sm 3.24-3.63, 4 Dy 3.40-3.59, 1 Pm 3.54
18 Sm 0.4838 0.1556 0.3680  5 Sm 3.49-3.61, 5 Dy 3.60-3.74, 1 Pm 3.71

Calculated values
Calculated formation energy ... 0.040 eV/atom
Space-group type ... P-1
Theoretical density ... 7.80 g/cm³
E_tot ... -4.631 eV per atom
V ... 594.33 Å³ per cell



Entry 6:
First-principles (PBE) data for an optimized crystal structure of Sr2PmReN4, as listed in Alexandria.

Cell: 5.6451 7.0980 7.7225 Å, 90.00 90.00 90.00°
With the nearest neighbours (Å) after each atom.
Sites, in units of the cell vectors:
1 N 0.3996 0.0965 0.5000  1 Re 1.88
2 N 0.8338 0.8540 0.5000  1 Re 1.86
3 Re 0.0053 0.1550 0.0000  4 N 1.86-1.88
4 Re 0.5053 0.8450 0.5000  4 N 1.86-1.88
5 Sr 0.4625 0.3430 0.2472  4 N 2.48-2.70
6 Pm 0.9754 0.1543 0.5000  4 N 2.28-2.45
7 Pm 0.4754 0.8457 0.0000  4 N 2.28-2.45
8 Sr 0.4625 0.3430 0.7528  4 N 2.48-2.70
9 N 0.3338 0.1460 0.0000  1 Re 1.86
10 N 0.8996 0.9035 0.0000  1 Re 1.88
11 N 0.9305 0.2807 0.7937  1 Re 1.87
12 Sr 0.9625 0.6570 0.7472  4 N 2.48-2.70
13 Sr 0.9625 0.6570 0.2528  4 N 2.48-2.70
14 N 0.9305 0.2807 0.2063  1 Re 1.87
15 N 0.4305 0.7193 0.7063  1 Re 1.87
16 N 0.4305 0.7193 0.2937  1 Re 1.87

Calculated values
E_form (uncorrected) ... -737 meV per atom
Space-group type ... Pmn2_1
Theoretical density ... 6.04 g/cm³
E_tot ... -7.470 eV per atom
V ... 309.43 Å³ per cell



Entry 7:
First-principles (PBE) data for an optimized crystal structure of Th2InSe, as listed in Alexandria.

Cell: 4.4738 4.4738 7.3232 Å, 72.21 72.21 60.00°
With the nearest neighbours (Å) after each atom.
Sites, in units of the cell vectors:
1 In 0.5000 0.5000 0.5000  6 Th 3.17
2 Th 0.7442 0.7442 0.7675  3 Se 3.03, 3 In 3.17
3 Se 0.0000 0.0000 0.0000  6 Th 3.03
4 Th 0.2558 0.2558 0.2325  3 Se 3.03, 3 In 3.17

Calculated values
E_form (uncorrected) ... -757 meV per atom
Space-group type ... R-3m
Theoretical density ... 9.20 g/cm³
E_tot ... -6.022 eV per atom
V ... 118.78 Å³ per cell



Entry 8:
First-principles (PBE) data for an optimized crystal structure of MoIrRu, as listed in Alexandria.

Cell: 4.3687 4.8193 4.8193 Å, 119.83 90.00 90.00°
With the nearest neighbours (Å) after each atom.
Sites, in units of the cell vectors:
1 Ru 0.2500 0.5713 0.7584  5 Ir 2.70-2.81, 5 Mo 2.70-2.83, 2 Ru 2.70
2 Mo 0.2500 0.9146 0.4341  5 Ru 2.70-2.83, 5 Ir 2.72-2.84, 2 Mo 2.76
3 Ir 0.7500 0.9039 0.7641  5 Ru 2.70-2.81, 2 Ir 2.71, 5 Mo 2.72-2.84
4 Mo 0.7500 0.5659 0.0854  5 Ru 2.70-2.83, 5 Ir 2.72-2.84, 2 Mo 2.76
5 Ir 0.2500 0.2359 0.0961  5 Ru 2.70-2.81, 2 Ir 2.71, 5 Mo 2.72-2.84
6 Ru 0.7500 0.2416 0.4287  5 Ir 2.70-2.81, 5 Mo 2.70-2.83, 2 Ru 2.70

Calculated values
Calculated formation energy ... -0.177 eV/atom
Space-group type ... Ama2
Theoretical density ... 14.68 g/cm³
E_tot ... -9.833 eV per atom
V ... 88.03 Å³ per cell



What is the E_tot in the fifth record?
-4.631 eV per atom



Which value of E_tot does entry 7 give?
-6.022 eV per atom



Please write out number 2 again, unchanged.
First-principles (PBE) data for an optimized crystal structure of CaNd2Ga, as listed in Alexandria.

Cell: 4.8109 4.8109 7.6545 Å, 71.68 71.68 60.00°
With the nearest neighbours (Å) after each atom.
Sites, in units of the cell vectors:
1 Ca 0.4983 0.4983 0.5051  1 Ga 3.60, 6 Nd 3.60-3.68
2 Nd 0.2776 0.2776 0.1673  3 Ga 3.02
3 Ga 0.6665 0.6665 0.0004  6 Nd 3.02-3.04
4 Nd 0.0576 0.0576 0.8272  3 Ga 3.04

Calculated values
Calculated formation energy ... -0.014 eV/atom
Space-group type ... R3m
Theoretical density ... 4.63 g/cm³
E_tot ... -3.655 eV per atom
V ... 142.97 Å³ per cell